# VCuAs2F

VCuAs2F after structural relaxation (PBE+U, Alexandria).

abc: 4.825 3.777 4.825
angles: 90.00 90.00 90.00
Positions (direct):
F 0.000 0.500 0.000
As 0.500 0.000 0.000
As 0.000 0.000 0.500
V 0.000 0.000 0.000
Cu 0.500 0.500 0.500

Energy (eV per cell): -22.9
Symmetry: No. 123
Total magnetic moment (μB per formula unit): 0.0